First-principles (PBE) data for a relaxed structure of CsCuTe3Pt, as listed in the Open Quantum Materials Database.

Computed properties:
- Spin magnetization: 0.007 μB per formula unit
- Calculated total energy: -0.275 Ry per atom
- Volume: 30.714 A^3/atom
- Energy above the lowest structure with this stoichiometry: 6 meV/atom

Cell: 11.3305 4.1221 15.7825 Å, 90.00 90.00 90.00°
Closest atoms and distances in Å follow each position.
Space group Pnma (No. 62)
One atom of each set of equivalent atoms:
Cs 0.2323 0.2500 0.0019 [4 per cell]  2 Cu 3.73, 8 Te 3.86-3.99, 2 Cs 4.12
Cu 0.2340 0.2500 0.6971 [4 per cell]  4 Te 2.58-2.64
Te 0.0299 0.2500 0.6223 [4 per cell]  1 Cu 2.60, 2 Pt 2.72
Te 0.0386 0.7500 0.1597 [4 per cell]  1 Cu 2.64, 2 Pt 2.71
Te 0.2477 0.7500 0.7954 [4 per cell]  2 Cu 2.58, 1 Pt 2.81
Pt 0.0074 0.2500 0.2685 [4 per cell]  5 Te 2.71-2.81